(1)
Material: CdCoAu4
Method: DFT, PBEsol
State: optimized geometry

```
CdCoAu4
1.0
5.3523 0.0000 0.0000
2.6761 4.6352 0.0000
2.6761 1.5451 4.3701
Cd Au Co
1 4 1
direct
0.7500 0.7500 0.7500 Cd
0.3748 0.8756 0.3748 Au
0.3748 0.3748 0.3748 Au
0.3748 0.3748 0.8756 Au
0.8756 0.3748 0.3748 Au
0.0000 0.0000 0.0000 Co
```

space-group type = F-43m, No. 216
DFT total energy = -3.756 eV per atom
DOS at the Fermi energy = 1.25 states/eV per atom

---

(2)
Material: TaMn2Au
Method: DFT, PBEsol
State: optimized geometry

```
TaMn2Au
1.0
-2.6183 -3.3990 0.4928
1.4108 -3.9687 -0.9542
0.7325 -2.8496 3.1615
Mn Ta Au
2 1 1
direct
0.2500 0.2500 0.2500 Mn
0.7500 0.7500 0.7500 Mn
0.5000 0.5000 0.5000 Ta
0.0000 0.0000 0.0000 Au
```

space-group type = Fm-3m, No. 225
DFT total energy = -8.901 eV per atom
DOS at the Fermi energy = 0.95 states/eV per atom

---

(3)
Material: Sr2Hg
Method: DFT, PBEsol
State: optimized geometry

```
Sr2Hg
1.0
7.9051 0.0000 0.0000
0.0000 7.9051 0.0000
0.0000 0.0000 7.9051
Hg Sr
4 8
direct
0.5000 0.0000 0.5000 Hg
0.0000 0.0000 0.0000 Hg
0.0000 0.5000 0.5000 Hg
0.5000 0.5000 0.0000 Hg
0.6547 0.6547 0.6547 Sr
0.3453 0.1547 0.8453 Sr
0.6547 0.8453 0.1547 Sr
0.3453 0.3453 0.3453 Sr
0.8453 0.3453 0.1547 Sr
0.1547 0.8453 0.3453 Sr
0.1547 0.6547 0.8453 Sr
0.8453 0.1547 0.6547 Sr
```

space-group type = Pa-3, No. 205
DFT total energy = -1.737 eV per atom
DOS at the Fermi energy = 1.04 states/eV per atom

---

(4)
Material: LiCd3Tc
Method: DFT, PBEsol
State: optimized geometry

```
LiCd3Tc
1.0
4.4705 0.0000 0.0000
0.0000 4.4705 0.0000
0.0000 0.0000 4.4705
Li Cd Tc
1 3 1
direct
0.0000 0.0000 0.0000 Li
0.5000 0.0000 0.0000 Cd
0.0000 0.0000 0.5000 Cd
0.0000 0.5000 0.0000 Cd
0.5000 0.5000 0.5000 Tc
```

space-group type = Pm-3m, No. 221
DFT total energy = -2.503 eV per atom
DOS at the Fermi energy = 0.46 states/eV per atom

---

(5)
Material: LiMgHgN2
Method: DFT, PBEsol
State: optimized geometry

```
LiMgHgN2
1.0
3.8946 0.0000 0.0000
0.0000 3.8946 0.0000
0.0000 0.0000 4.3395
Hg Li N Mg
1 1 2 1
direct
0.0000 0.0000 0.5000 Hg
0.0000 0.0000 0.0000 Li
0.0000 0.5000 0.0000 N
0.5000 0.0000 0.0000 N
0.5000 0.5000 0.5000 Mg
```

E_form (uncorrected) = 5.67 eV/f.u.
space-group type = P4/mmm, No. 123
DOS at the Fermi energy = 0.43 states/eV per atom

---

(6)
Material: La4Mg
Method: DFT, PBEsol
State: optimized geometry

```
La4Mg
1.0
-0.5291 -1.9222 3.8894
-0.2335 -3.8999 -1.9592
9.4521 1.9794 -0.1916
Mg La
1 4
direct
0.0000 0.0000 0.0000 Mg
0.5862 0.5862 0.1723 La
0.4138 0.4138 0.8277 La
0.2500 0.7500 0.5000 La
0.7500 0.2500 0.5000 La
```

E above lowest polymorph = 370 meV/atom
space-group type = I4/mmm, No. 139
DOS at the Fermi energy = 1.50 states/eV per atom

---

Please write out number 4 again, unchanged.
Material: LiCd3Tc
Method: DFT, PBEsol
State: optimized geometry

```
LiCd3Tc
1.0
4.4705 0.0000 0.0000
0.0000 4.4705 0.0000
0.0000 0.0000 4.4705
Li Cd Tc
1 3 1
direct
0.0000 0.0000 0.0000 Li
0.5000 0.0000 0.0000 Cd
0.0000 0.0000 0.5000 Cd
0.0000 0.5000 0.0000 Cd
0.5000 0.5000 0.5000 Tc
```

space-group type = Pm-3m, No. 221
DFT total energy = -2.503 eV per atom
DOS at the Fermi energy = 0.46 states/eV per atom

---

Question: Look up the DOS at the Fermi energy of the fourth one.
Answer: 0.46 states/eV per atom